Entry 1:
Ce2Mg: single point on PBEsol structure, meta-GGA SCAN.

Unit cell a=3.0806 b=3.0806 c=17.0756 alpha=90.00 beta=90.00 gamma=120.00
Closest atoms and distances in Å follow each position.
Fractional coordinates of all 6 atoms:
Ce (0.3333, 0.6667, 0.2523)  9 Ce 3.08-3.39, 3 Mg 3.41
Ce (0.3333, 0.6667, 0.9167)  12 Ce 3.08-3.39
Ce (0.6667, 0.3333, 0.0833)  12 Ce 3.08-3.39
Ce (0.6667, 0.3333, 0.7477)  9 Ce 3.08-3.39, 3 Mg 3.41
Mg (0.3333, 0.6667, 0.5772)  9 Mg 3.08-3.18, 3 Ce 3.41
Mg (0.6667, 0.3333, 0.4228)  9 Mg 3.08-3.18, 3 Ce 3.41

Summary:
E_form, eV per atom: 0.0513
ρ, kg/m3: 7207
Final energy, eV per atom: -31.316
D(E_F), states/eV/cell: 9.18
Space group: No. 164
Size of the total moment, μB/f.u.: 0.1
E above lowest polymorph, meV per atom: 41



Entry 2:
Ce3Mg: single point on PBEsol structure, meta-GGA SCAN.

Unit cell a=6.3429 b=6.3429 c=6.3429 alpha=151.92 beta=61.05 gamma=127.00
Closest atoms and distances in Å follow each position.
Fractional coordinates of all 4 atoms:
Ce (0.0000, 0.0000, 0.0000)  6 Ce 2.97-3.08, 4 Mg 3.21-3.23
Ce (0.2739, 0.5423, 0.7316)  8 Ce 2.97-3.25, 2 Mg 3.32
Ce (0.8107, 0.5423, 0.2684)  8 Ce 2.97-3.25, 2 Mg 3.32
Mg (0.4980, 0.9980, 0.5000)  2 Mg 3.08, 8 Ce 3.21-3.32

Summary:
E_form, eV per atom: 0.0708
ρ, kg/m3: 7758
Final energy, eV per atom: -34.596
D(E_F), states/eV/cell: 7.48
Space group: No. 44
Size of the total moment, μB/f.u.: 0.0



Entry 3:
CeMg2: single point on PBEsol structure, meta-GGA SCAN.

Unit cell a=9.1376 b=9.1376 c=5.1072 alpha=90.00 beta=90.00 gamma=160.82
Closest atoms and distances in Å follow each position.
Fractional coordinates of all 6 atoms:
Ce (0.0354, 0.9646, 0.7500)  4 Ce 2.85-3.04
Ce (0.9646, 0.0354, 0.2500)  4 Ce 2.85-3.04
Mg (0.2845, 0.7155, 0.2500)  10 Mg 3.02-3.23
Mg (0.3736, 0.6264, 0.7500)  6 Mg 3.02-3.23, 2 Ce 3.29
Mg (0.6264, 0.3736, 0.2500)  6 Mg 3.02-3.23, 2 Ce 3.29
Mg (0.7155, 0.2845, 0.7500)  10 Mg 3.02-3.23

Summary:
E_form, eV per atom: -0.0163
ρ, kg/m3: 4475
Final energy, eV per atom: -18.187
D(E_F), states/eV/cell: 4.85
Space group: No. 63
Size of the total moment, μB/f.u.: 0.4



Entry 4:
Ce2Mg: single point on PBEsol structure, meta-GGA SCAN.

Unit cell a=5.3546 b=5.3546 c=9.4827 alpha=110.82 beta=110.82 gamma=33.93
Closest atoms and distances in Å follow each position.
Fractional coordinates of all 6 atoms:
Ce (0.0162, 0.0162, 0.2867)  5 Ce 2.83-3.13
Ce (0.3135, 0.3135, 0.3910)  5 Ce 2.83-3.13
Ce (0.6865, 0.6865, 0.6090)  5 Ce 2.83-3.13
Ce (0.9838, 0.9838, 0.7133)  5 Ce 2.83-3.13
Mg (0.3437, 0.3437, 0.9408)  5 Mg 2.97-3.13
Mg (0.6563, 0.6563, 0.0592)  5 Mg 2.97-3.13

Summary:
E_form, eV per atom: 0.0105
ρ, kg/m3: 7178
Final energy, eV per atom: -31.357
D(E_F), states/eV/cell: 8.92
Space group: No. 12
Size of the total moment, μB/f.u.: 0.4
E above lowest polymorph, meV per atom: 0



Which formula does entry 4 have? Ce2Mg



Which value of size of the total moment does entry 3 give? 0.4 μB/f.u.



What is the formula in the second record? Ce3Mg



The lowest D(E_F) belongs to which entry? CeMg2